[1]
# Nd2ScCd

A relaxed Nd2ScCd crystal (PBE, Alexandria via LeMat-Bulk).

Cell and atoms, written as POSCAR:
```
Nd2ScCd
1.0
-0.732 3.450 1.122
-1.353 -1.935 5.066
5.309 0.591 1.644
Cd Nd Sc
1 2 1
Direct
0.500 0.000 0.000
0.000 0.500 0.000
0.000 0.000 0.500
0.500 0.500 0.500
```

Summary:
- Polymorph energy (0 for the lowest one): 0.010 eV per atom
- E: -4.30 eV/atom
- Formation energy: -0.100 eV per atom
- V: 28.9 Å³/atom
- Space group: P4/mmm

=====

[2]
# PmTh2Be3Ir4

A relaxed PmTh2Be3Ir4 crystal (PBE, Alexandria via LeMat-Bulk).

Cell and atoms, written as POSCAR:
```
PmTh2Be3Ir4
1.0
4.123 0.000 0.000
0.000 4.123 0.000
0.000 0.000 10.700
Ir Be Th Pm
4 3 2 1
Direct
0.500 0.500 0.000
0.000 0.500 0.322
0.500 0.000 0.678
0.000 0.000 0.000
0.000 0.500 0.098
0.500 0.000 0.902
0.000 0.000 0.500
0.000 0.500 0.786
0.500 0.000 0.214
0.500 0.500 0.500
```

Summary:
- E: -7.25 eV/atom
- Formation energy: -0.627 eV per atom
- V: 18.2 Å³/atom
- Space group: P-4m2

=====

[3]
# Sm3TmZn8

A relaxed Sm3TmZn8 crystal (PBE, Alexandria via LeMat-Bulk).

Cell and atoms, written as POSCAR:
```
Sm3TmZn8
1.0
-0.401 -3.825 3.950
4.496 -2.716 1.674
2.836 4.095 8.102
Zn Tm Sm
8 1 3
Direct
0.187 0.187 0.438
0.938 0.440 0.685
0.437 0.935 0.190
0.688 0.688 0.937
0.440 0.938 0.685
0.935 0.437 0.190
0.437 0.437 0.190
0.938 0.938 0.685
0.875 0.875 0.374
0.375 0.375 0.875
0.000 0.000 0.000
0.500 0.500 0.501
```

Summary:
- Polymorph energy (0 for the lowest one): 0.000 eV per atom
- E: -2.73 eV/atom
- Formation energy: -0.325 eV per atom
- V: 19.7 Å³/atom
- Space group: R3m

=====

Number 1: theoretical density 6.404 g/cm³, total magnetic moment 0.0 μB per formula unit. Number 2: theoretical density 12.830 g/cm³, total magnetic moment 0.0 μB per formula unit. Number 3: theoretical density 8.047 g/cm³, total magnetic moment 0.0 μB per formula unit.